1.
# SbOsBr2 | Alexandria | GGA-PBE | relaxed
data_SbOsBr2
_chemical_formula_sum 'Sb1 Os1 Br2'
_cell_length_a 4.9216
_cell_length_b 4.9216
_cell_length_c 4.9216
_cell_angle_alpha 60.00
_cell_angle_beta 60.00
_cell_angle_gamma 60.00
_symmetry_space_group_name_H-M 'P 1'
_symmetry_Int_Tables_number 1
_symmetry_space_group_name_Hall 'P 1'
loop_
_atom_site_label
_atom_site_type_symbol
_atom_site_fract_x
_atom_site_fract_y
_atom_site_fract_z
_atom_site_occupancy
Sb1 Sb 0.0000 0.0000 0.0000 1
Os1 Os 0.7500 0.7500 0.7500 1
Br1 Br 0.2500 0.2500 0.2500 1
Br2 Br 0.5000 0.5000 0.5000 1
# energy relative to the lowest polymorph listed for this composition: 751 meV per atom
# energy: -14.58 eV for the cell shown
# uncorrected formation energy: 1030.0 meV/atom
# mass density: 9.294 g/cm³

2.
# LiMnAl2Pd | Alexandria | GGA-PBE | relaxed
data_LiMnAl2Pd
_chemical_formula_sum 'Li1 Mn1 Al2 Pd1'
_cell_length_a 4.5523
_cell_length_b 4.5523
_cell_length_c 4.3858
_cell_angle_alpha 90.00
_cell_angle_beta 90.00
_cell_angle_gamma 90.00
_symmetry_space_group_name_H-M 'P 1'
_symmetry_Int_Tables_number 1
_symmetry_space_group_name_Hall 'P 1'
loop_
_atom_site_label
_atom_site_type_symbol
_atom_site_fract_x
_atom_site_fract_y
_atom_site_fract_z
_atom_site_occupancy
Li1 Li 0.0000 0.0000 0.0000 1
Mn1 Mn 0.0000 0.0000 0.5000 1
Al1 Al 0.0000 0.5000 0.5000 1
Al2 Al 0.5000 0.0000 0.5000 1
Pd1 Pd 0.5000 0.5000 0.0000 1
# formation energy from the elements: 0.5254 eV per atom
# energy: -21.13 eV for the cell shown
# mass density: 4.061 g/cm³

3.
# KBRu3 | Alexandria | GGA-PBE | relaxed
data_KBRu3
_chemical_formula_sum 'K1 B1 Ru3'
_cell_length_a 4.6582
_cell_length_b 4.6582
_cell_length_c 4.6582
_cell_angle_alpha 90.00
_cell_angle_beta 90.00
_cell_angle_gamma 90.00
_symmetry_space_group_name_H-M 'P 1'
_symmetry_Int_Tables_number 1
_symmetry_space_group_name_Hall 'P 1'
loop_
_atom_site_label
_atom_site_type_symbol
_atom_site_fract_x
_atom_site_fract_y
_atom_site_fract_z
_atom_site_occupancy
K1 K 0.0000 0.0000 0.0000 1
B1 B 0.5000 0.5000 0.5000 1
Ru1 Ru 0.0000 0.0000 0.5000 1
Ru2 Ru 0.0000 0.5000 0.0000 1
Ru3 Ru 0.5000 0.0000 0.0000 1
# formation energy from the elements: 3.7053 eV per atom
# energy: -17.08 eV for the cell shown
# mass density: 5.801 g/cm³

4.
# Rb2ZrZnI6 | Alexandria | GGA-PBE | relaxed
data_Rb2ZrZnI6
_chemical_formula_sum 'Rb2 Zr1 Zn1 I6'
_cell_length_a 8.7889
_cell_length_b 8.7889
_cell_length_c 8.7889
_cell_angle_alpha 60.00
_cell_angle_beta 60.00
_cell_angle_gamma 60.00
_symmetry_space_group_name_H-M 'P 1'
_symmetry_Int_Tables_number 1
_symmetry_space_group_name_Hall 'P 1'
loop_
_atom_site_label
_atom_site_type_symbol
_atom_site_fract_x
_atom_site_fract_y
_atom_site_fract_z
_atom_site_occupancy
Rb1 Rb 0.2500 0.2500 0.2500 1
Rb2 Rb 0.7500 0.7500 0.7500 1
Zr1 Zr 0.0000 0.0000 0.0000 1
Zn1 Zn 0.5000 0.5000 0.5000 1
I1 I 0.2329 0.2329 0.7671 1
I2 I 0.2329 0.7671 0.2329 1
I3 I 0.2329 0.7671 0.7671 1
I4 I 0.7671 0.2329 0.2329 1
I5 I 0.7671 0.2329 0.7671 1
I6 I 0.7671 0.7671 0.2329 1
# energy: -30.32 eV for the cell shown
# uncorrected formation energy: -926.6 meV/atom
# mass density: 3.767 g/cm³

5.
# NaLi3Pb4 | Alexandria | GGA-PBE | relaxed
data_NaLi3Pb4
_chemical_formula_sum 'Na1 Li3 Pb4'
_cell_length_a 5.0512
_cell_length_b 5.0512
_cell_length_c 7.5444
_cell_angle_alpha 90.00
_cell_angle_beta 90.00
_cell_angle_gamma 90.00
_symmetry_space_group_name_H-M 'P 1'
_symmetry_Int_Tables_number 1
_symmetry_space_group_name_Hall 'P 1'
loop_
_atom_site_label
_atom_site_type_symbol
_atom_site_fract_x
_atom_site_fract_y
_atom_site_fract_z
_atom_site_occupancy
Na1 Na 0.0000 0.0000 0.0000 1
Li1 Li 0.0000 0.0000 0.5000 1
Li2 Li 0.5000 0.5000 0.0000 1
Li3 Li 0.5000 0.5000 0.5000 1
Pb1 Pb 0.0000 0.5000 0.2681 1
Pb2 Pb 0.0000 0.5000 0.7319 1
Pb3 Pb 0.5000 0.0000 0.2681 1
Pb4 Pb 0.5000 0.0000 0.7319 1
# formation energy from the elements: -0.2253 eV per atom
# energy: -23.70 eV for the cell shown
# mass density: 7.528 g/cm³

6.
# SmTm2PuSe4 | Alexandria | GGA-PBE | relaxed
data_SmTm2PuSe4
_chemical_formula_sum 'Sm1 Tm2 Pu1 Se4'
_cell_length_a 7.0677
_cell_length_b 4.0570
_cell_length_c 7.1206
_cell_angle_alpha 90.00
_cell_angle_beta 109.00
_cell_angle_gamma 90.00
_symmetry_space_group_name_H-M 'P 1'
_symmetry_Int_Tables_number 1
_symmetry_space_group_name_Hall 'P 1'
loop_
_atom_site_label
_atom_site_type_symbol
_atom_site_fract_x
_atom_site_fract_y
_atom_site_fract_z
_atom_site_occupancy
Sm1 Sm 0.0000 0.0000 0.0000 1
Tm1 Tm 0.0000 0.5000 0.5000 1
Tm2 Tm 0.5000 0.0000 0.5000 1
Pu1 Pu 0.5000 0.5000 0.0000 1
Se1 Se 0.2472 0.0000 0.7382 1
Se2 Se 0.2555 0.5000 0.2630 1
Se3 Se 0.7445 0.5000 0.7370 1
Se4 Se 0.7528 0.0000 0.2618 1
# energy: -55.49 eV for the cell shown
# uncorrected formation energy: -1694.5 meV/atom
# mass density: 9.015 g/cm³

7.
# GaSiIO2 | Alexandria | GGA-PBE | relaxed
data_GaSiIO2
_chemical_formula_sum 'Ga1 Si1 I1 O2'
_cell_length_a 3.9272
_cell_length_b 3.9272
_cell_length_c 5.6521
_cell_angle_alpha 90.00
_cell_angle_beta 90.00
_cell_angle_gamma 90.00
_symmetry_space_group_name_H-M 'P 1'
_symmetry_Int_Tables_number 1
_symmetry_space_group_name_Hall 'P 1'
loop_
_atom_site_label
_atom_site_type_symbol
_atom_site_fract_x
_atom_site_fract_y
_atom_site_fract_z
_atom_site_occupancy
Ga1 Ga 0.0000 0.0000 0.0000 1
Si1 Si 0.5000 0.5000 0.5000 1
I1 I 0.0000 0.0000 0.5000 1
O1 O 0.0000 0.5000 0.0000 1
O2 O 0.5000 0.0000 0.0000 1
# energy relative to the lowest polymorph listed for this composition: 484 meV per atom
# energy: -20.23 eV for the cell shown
# uncorrected formation energy: -61.7 meV/atom
# mass density: 4.890 g/cm³

8.
# PrPaMoN4 | Alexandria | GGA-PBE | relaxed
data_PrPaMoN4
_chemical_formula_sum 'Pr2 Pa2 Mo2 N8'
_cell_length_a 6.0586
_cell_length_b 5.6105
_cell_length_c 6.8439
_cell_angle_alpha 90.00
_cell_angle_beta 108.42
_cell_angle_gamma 90.00
_symmetry_space_group_name_H-M 'P 1'
_symmetry_Int_Tables_number 1
_symmetry_space_group_name_Hall 'P 1'
loop_
_atom_site_label
_atom_site_type_symbol
_atom_site_fract_x
_atom_site_fract_y
_atom_site_fract_z
_atom_site_occupancy
Pr1 Pr 0.2161 0.2500 0.4378 1
Pr2 Pr 0.7839 0.7500 0.5622 1
Pa1 Pa 0.2965 0.2500 0.9571 1
Pa2 Pa 0.7035 0.7500 0.0429 1
Mo1 Mo 0.2490 0.7500 0.1892 1
Mo2 Mo 0.7510 0.2500 0.8108 1
N1 N 0.0353 0.7500 0.9238 1
N2 N 0.0449 0.7500 0.3516 1
N3 N 0.4893 0.5067 0.2159 1
N4 N 0.4893 0.9933 0.2159 1
N5 N 0.5107 0.0067 0.7841 1
N6 N 0.5107 0.4933 0.7841 1
N7 N 0.9551 0.2500 0.6484 1
N8 N 0.9647 0.2500 0.0762 1
# energy: -129.77 eV for the cell shown
# uncorrected formation energy: -925.5 meV/atom
# mass density: 7.883 g/cm³